{
  "formula": "Ba3PuCo2O8",
  "functional": "PBE+U",
  "state": "optimized geometry",
  "m_tot_mub_per_fu": 4.0,
  "total_energy_ev_per_cell": -100.498,
  "lattice_angstrom": [[5.9521, 0.0000, 0.0000], [-2.9760, 5.1547, 0.0000], [0.0000, 0.0000, 7.6679]],
  "species": ["Ba", "Ba", "Ba", "Pu", "Co", "Co", "O", "O", "O", "O", "O", "O", "O", "O"],
  "fractional_positions": [[0.0000, 0.0000, 0.0000], [0.3333, 0.6667, 0.6639], [0.6667, 0.3333, 0.3361], [0.0000, 0.0000, 0.5000], [0.3333, 0.6667, 0.2145], [0.6667, 0.3333, 0.7855], [0.1635, 0.3270, 0.3359], [0.1635, 0.8365, 0.3359], [0.3270, 0.1635, 0.6641], [0.3333, 0.6667, 0.9808], [0.6667, 0.3333, 0.0192], [0.6730, 0.8365, 0.3359], [0.8365, 0.1635, 0.6641], [0.8365, 0.6730, 0.6641]]
}